# 1
Density functional theory data (SCAN) for CdTcIr2 at its PBEsol-relaxed geometry.

a = 2.7783 Å, b = 2.7783 Å, c = 7.8165 Å
α = 90.00°, β = 90.00°, γ = 90.00°
Element x y z (fractional)
Cd: 0.0000 0.0000 0.0000
Tc: 0.0000 0.0000 0.5000
Ir: 0.5000 0.5000 0.2743
Ir: 0.5000 0.5000 0.7257

## Properties
Its density is 16371 kg/m³. The energy relative to the elements is -0.116 eV per atom. The value obtained for the raw total energy is -52.034 eV per atom. The symmetry is No. 123.


# 2
Density functional theory data (SCAN) for BMo2H at its PBEsol-relaxed geometry.

a = 3.8304 Å, b = 3.8304 Å, c = 3.8304 Å
α = 60.00°, β = 60.00°, γ = 60.00°
Element x y z (fractional)
B: 0.0000 0.0000 0.0000
Mo: 0.2500 0.2500 0.2500
Mo: 0.7500 0.7500 0.7500
H: 0.5000 0.5000 0.5000

## Properties
Its density is 8512 kg/m³. The value obtained for the raw total energy is -19.738 eV per atom. The symmetry is No. 225.


# 3
Density functional theory data (SCAN) for LaAl2O2 at its PBEsol-relaxed geometry.

a = 7.6101 Å, b = 7.6101 Å, c = 3.0092 Å
α = 90.00°, β = 90.00°, γ = 90.00°
Element x y z (fractional)
La: 0.0000 0.0000 0.0000
La: 0.5000 0.5000 0.0000
Al: 0.1142 0.3858 0.0000
Al: 0.3858 0.8858 0.0000
Al: 0.6142 0.1142 0.0000
Al: 0.8858 0.6142 0.0000
O: 0.2079 0.2921 0.5000
O: 0.2921 0.7921 0.5000
O: 0.7079 0.2079 0.5000
O: 0.7921 0.7079 0.5000

## Properties
Its density is 4285 kg/m³. Its uncorrected formation energy is -1.274 eV per atom. The value obtained for the raw total energy is -15.488 eV per atom. The symmetry is No. 127.